1.
VASP calculation (GGA-PBE) on AcSeBr after structural relaxation.

Summary:
- Total moment: 0.00 μB per formula unit
- E: -5.010 eV/atom
- DOS at the Fermi energy: 0.00 states/eV per atom
- Energy relative to the elements, uncorrected: -5.8 eV/f.u.
- Energy above the most stable polymorph in this dataset: 126 meV/atom

```
data_AcSeBr
_chemical_formula_sum 'Ac1 Se1 Br1'
_symmetry_space_group_name_H-M 'P 3 m 1'
_symmetry_Int_Tables_number 156
_cell_length_a 4.6763
_cell_length_b 4.6763
_cell_length_c 6.8716
_cell_angle_alpha 90.00
_cell_angle_beta 90.00
_cell_angle_gamma 120.00
loop_
_symmetry_equiv_pos_as_xyz
'x,y,z'
'-y,x-y,z'
'-x+y,-x,z'
'-y,-x,z'
'-x+y,y,z'
'x,x-y,z'
loop_
_atom_site_label
_atom_site_fract_x
_atom_site_fract_y
_atom_site_fract_z
Ac1 0.0000 0.0000 0.0000
Se1 0.3333 0.6667 0.8063
Br1 0.6667 0.3333 0.2599
```

2.
VASP calculation (GGA-PBE) on Ac3Se3Br after structural relaxation.

Summary:
- Total moment: 0.00 μB per formula unit
- E: -5.330 eV/atom
- DOS at the Fermi energy: 0.35 states/eV per atom
- Energy relative to the elements, uncorrected: -12.9 eV/f.u.

```
data_Ac3Se3Br
_chemical_formula_sum 'Ac18 Se18 Br6'
_symmetry_space_group_name_H-M 'R -3'
_symmetry_Int_Tables_number 148
_symmetry_space_group_name_Hall '-R 3'
_cell_length_a 9.3611
_cell_length_b 9.3611
_cell_length_c 18.7697
_cell_angle_alpha 90.00
_cell_angle_beta 90.00
_cell_angle_gamma 120.00
loop_
_atom_site_label
_atom_site_fract_x
_atom_site_fract_y
_atom_site_fract_z
Ac1 0.0049 0.6458 0.0808
Se1 0.0010 0.6993 0.9136
Br1 0.0000 0.0000 0.3295
```

3.
VASP calculation (GGA-PBE) on Ac6Se5Br after structural relaxation.

Summary:
- Total moment: 0.00 μB per formula unit
- E: -5.384 eV/atom
- DOS at the Fermi energy: 0.55 states/eV per atom
- Energy relative to the elements, uncorrected: -20.9 eV/f.u.

```
data_Ac6Se5Br
_chemical_formula_sum 'Ac12 Se10 Br2'
_symmetry_space_group_name_H-M 'C 1 2/m 1'
_symmetry_Int_Tables_number 12
_cell_length_a 7.733
_cell_length_b 13.424
_cell_length_c 7.751
_cell_angle_alpha 90.00
_cell_angle_beta 109.56
_cell_angle_gamma 90.00
loop_
_symmetry_equiv_pos_as_xyz
'x,y,z'
'-x,-y,-z'
'-x,y,-z'
'x,-y,z'
'x+1/2,y+1/2,z'
'-x+1/2,-y+1/2,-z'
'-x+1/2,y+1/2,-z'
'x+1/2,-y+1/2,z'
loop_
_atom_site_label
_atom_site_fract_x
_atom_site_fract_y
_atom_site_fract_z
Ac1 0.241 0.000 0.255
Ac2 0.242 0.172 0.742
Se1 0.000 0.000 0.500
Se2 0.000 0.167 0.000
Se3 0.000 0.337 0.500
Br1 0.000 0.500 0.000
```

4.
VASP calculation (GGA-PBE) on AcSeBr after structural relaxation.

Summary:
- Total moment: 0.00 μB per formula unit
- E: -5.087 eV/atom
- DOS at the Fermi energy: 0.00 states/eV per atom
- Energy relative to the elements, uncorrected: -6.0 eV/f.u.
- Energy above the most stable polymorph in this dataset: 49 meV/atom

```
data_AcSeBr
_chemical_formula_sum 'Ac4 Se4 Br4'
_symmetry_space_group_name_H-M 'F -4 3 m'
_symmetry_Int_Tables_number 216
_symmetry_space_group_name_Hall 'F -4 2 3'
_cell_length_a 7.405
_cell_length_b 7.405
_cell_length_c 7.405
_cell_angle_alpha 90.00
_cell_angle_beta 90.00
_cell_angle_gamma 90.00
loop_
_atom_site_label
_atom_site_fract_x
_atom_site_fract_y
_atom_site_fract_z
Ac1 0.000 0.000 0.000
Se1 0.250 0.250 0.750
Br1 0.250 0.250 0.250
```

5.
VASP calculation (GGA-PBE) on Ac4Si2SeBr after structural relaxation.

Summary:
- Total moment: 0.00 μB per formula unit
- E: -5.181 eV/atom
- DOS at the Fermi energy: 0.33 states/eV per atom
- Energy relative to the elements, uncorrected: -9.0 eV/f.u.

```
data_Ac4Si2SeBr
_chemical_formula_sum 'Ac8 Si4 Se2 Br2'
_symmetry_space_group_name_H-M 'I 4/m m m'
_symmetry_Int_Tables_number 139
_symmetry_space_group_name_Hall '-I 4 2'
_cell_length_a 6.412
_cell_length_b 6.412
_cell_length_c 12.750
_cell_angle_alpha 90.00
_cell_angle_beta 90.00
_cell_angle_gamma 90.00
loop_
_atom_site_label
_atom_site_fract_x
_atom_site_fract_y
_atom_site_fract_z
Ac1 0.000 0.000 0.244
Ac2 0.000 0.500 0.000
Si1 0.000 0.500 0.250
Se1 0.000 0.000 0.000
Br1 0.000 0.000 0.500
```

6.
VASP calculation (GGA-PBE) on Ac6Si2Se3Br after structural relaxation.

Summary:
- Total moment: 0.00 μB per formula unit
- E: -5.361 eV/atom
- DOS at the Fermi energy: 0.39 states/eV per atom
- Energy relative to the elements, uncorrected: -16.7 eV/f.u.

```
data_Ac6Si2Se3Br
_chemical_formula_sum 'Ac12 Si4 Se6 Br2'
_symmetry_space_group_name_H-M 'C 1 2/m 1'
_symmetry_Int_Tables_number 12
_cell_length_a 19.716
_cell_length_b 4.524
_cell_length_c 9.098
_cell_angle_alpha 90.00
_cell_angle_beta 102.70
_cell_angle_gamma 90.00
loop_
_symmetry_equiv_pos_as_xyz
'x,y,z'
'-x,-y,-z'
'-x,y,-z'
'x,-y,z'
'x+1/2,y+1/2,z'
'-x+1/2,-y+1/2,-z'
'-x+1/2,y+1/2,-z'
'x+1/2,-y+1/2,z'
loop_
_atom_site_label
_atom_site_fract_x
_atom_site_fract_y
_atom_site_fract_z
Ac1 0.006 0.000 0.270
Ac2 0.170 0.500 0.576
Ac3 0.174 0.500 0.100
Si1 0.165 0.000 0.329
Se1 0.000 0.500 0.500
Se2 0.162 0.000 0.836
Br1 0.000 0.500 0.000
```

7.
VASP calculation (GGA-PBE) on Ac8Si3SeBr4 after structural relaxation.

Summary:
- Total moment: 0.00 μB per formula unit
- E: -4.892 eV/atom
- DOS at the Fermi energy: 0.63 states/eV per atom
- Energy relative to the elements, uncorrected: -19.0 eV/f.u.

```
data_Ac8Si3SeBr4
_chemical_formula_sum 'Ac24 Si9 Se3 Br12'
_symmetry_space_group_name_H-M 'R -3 m'
_symmetry_Int_Tables_number 166
_symmetry_space_group_name_Hall '-R 3 2"'
_cell_length_a 9.1118
_cell_length_b 9.1118
_cell_length_c 22.7461
_cell_angle_alpha 90.00
_cell_angle_beta 90.00
_cell_angle_gamma 120.00
loop_
_atom_site_label
_atom_site_fract_x
_atom_site_fract_y
_atom_site_fract_z
Ac1 0.0000 0.0000 0.2381
Ac2 0.0094 0.5047 0.7615
Si1 0.0000 0.5000 0.5000
Se1 0.0000 0.0000 0.5000
Br1 0.0000 0.0000 0.0000
Br2 0.0000 0.5000 0.0000
```

8.
VASP calculation (GGA-PBE) on Ac6Si3Se2Br after structural relaxation.

Summary:
- Total moment: 0.00 μB per formula unit
- E: -5.330 eV/atom
- DOS at the Fermi energy: 0.24 states/eV per atom
- Energy relative to the elements, uncorrected: -14.4 eV/f.u.

```
data_Ac6Si3Se2Br
_chemical_formula_sum 'Ac12 Si6 Se4 Br2'
_symmetry_space_group_name_H-M 'C 1 2/m 1'
_symmetry_Int_Tables_number 12
_cell_length_a 19.892
_cell_length_b 4.573
_cell_length_c 9.141
_cell_angle_alpha 90.00
_cell_angle_beta 103.05
_cell_angle_gamma 90.00
loop_
_symmetry_equiv_pos_as_xyz
'x,y,z'
'-x,-y,-z'
'-x,y,-z'
'x,-y,z'
'x+1/2,y+1/2,z'
'-x+1/2,-y+1/2,-z'
'-x+1/2,y+1/2,-z'
'x+1/2,-y+1/2,z'
loop_
_atom_site_label
_atom_site_fract_x
_atom_site_fract_y
_atom_site_fract_z
Ac1 0.003 0.000 0.230
Ac2 0.164 0.500 0.091
Ac3 0.174 0.500 0.578
Si1 0.000 0.500 0.000
Si2 0.164 0.000 0.334
Se1 0.166 0.000 0.832
Br1 0.000 0.500 0.500
```

9.
VASP calculation (GGA-PBE) on Ac4Tl2SeBr after structural relaxation.

Summary:
- Total moment: 0.00 μB per formula unit
- E: -4.190 eV/atom
- DOS at the Fermi energy: 0.52 states/eV per atom
- Energy relative to the elements, uncorrected: -7.2 eV/f.u.

```
data_Ac4Tl2SeBr
_chemical_formula_sum 'Ac4 Tl2 Se1 Br1'
_symmetry_space_group_name_H-M 'P 1 2/m 1'
_symmetry_Int_Tables_number 10
_cell_length_a 7.997
_cell_length_b 4.671
_cell_length_c 8.259
_cell_angle_alpha 90.00
_cell_angle_beta 109.08
_cell_angle_gamma 90.00
loop_
_symmetry_equiv_pos_as_xyz
'x,y,z'
'-x,-y,-z'
'-x,y,-z'
'x,-y,z'
loop_
_atom_site_label
_atom_site_fract_x
_atom_site_fract_y
_atom_site_fract_z
Ac1 0.239 0.000 0.237
Ac2 0.242 0.500 0.755
Tl1 0.000 0.000 0.500
Tl2 0.500 0.500 0.500
Se1 0.000 0.500 0.000
Br1 0.500 0.000 0.000
```

10.
VASP calculation (GGA-PBE) on Ac3Si2Br after structural relaxation.

Summary:
- Total moment: 0.86 μB per formula unit
- E: -4.659 eV/atom
- DOS at the Fermi energy: 0.85 states/eV per atom
- Energy relative to the elements, uncorrected: -3.1 eV/f.u.
- Energy above the most stable polymorph in this dataset: 153 meV/atom

```
data_Ac3Si2Br
_chemical_formula_sum 'Ac12 Si8 Br4'
_symmetry_space_group_name_H-M 'C m c m'
_symmetry_Int_Tables_number 63
_symmetry_space_group_name_Hall '-C 2c 2'
_cell_length_a 4.887
_cell_length_b 15.633
_cell_length_c 10.468
_cell_angle_alpha 90.00
_cell_angle_beta 90.00
_cell_angle_gamma 90.00
loop_
_atom_site_label
_atom_site_fract_x
_atom_site_fract_y
_atom_site_fract_z
Ac1 0.000 0.123 0.048
Ac2 0.000 0.377 0.250
Si1 0.000 0.015 0.750
Si2 0.000 0.500 0.000
Br1 0.000 0.282 0.750
```

11.
VASP calculation (GGA-PBE) on Ac12Si6Br after structural relaxation.

Summary:
- Total moment: 0.00 μB per formula unit
- E: -4.823 eV/atom
- DOS at the Fermi energy: 1.01 states/eV per atom
- Energy relative to the elements, uncorrected: -8.1 eV/f.u.

```
data_Ac12Si6Br
_chemical_formula_sum 'Ac24 Si12 Br2'
_symmetry_space_group_name_H-M 'I m -3'
_symmetry_Int_Tables_number 204
_symmetry_space_group_name_Hall '-I 2 2 3'
_cell_length_a 10.997
_cell_length_b 10.997
_cell_length_c 10.997
_cell_angle_alpha 90.00
_cell_angle_beta 90.00
_cell_angle_gamma 90.00
loop_
_atom_site_label
_atom_site_fract_x
_atom_site_fract_y
_atom_site_fract_z
Ac1 0.000 0.302 0.193
Si1 0.000 0.108 0.500
Br1 0.000 0.000 0.000
```

12.
VASP calculation (GGA-PBE) on AcSiBr after structural relaxation.

Summary:
- Total moment: 0.00 μB per formula unit
- E: -4.987 eV/atom
- DOS at the Fermi energy: 0.21 states/eV per atom
- Energy relative to the elements, uncorrected: -3.8 eV/f.u.
- Energy above the most stable polymorph in this dataset: 0 meV/atom

```
data_AcSiBr
_chemical_formula_sum 'Ac4 Si4 Br4'
_symmetry_space_group_name_H-M 'C 1 2/m 1'
_symmetry_Int_Tables_number 12
_cell_length_a 7.523
_cell_length_b 4.282
_cell_length_c 12.399
_cell_angle_alpha 90.00
_cell_angle_beta 101.62
_cell_angle_gamma 90.00
loop_
_symmetry_equiv_pos_as_xyz
'x,y,z'
'-x,-y,-z'
'-x,y,-z'
'x,-y,z'
'x+1/2,y+1/2,z'
'-x+1/2,-y+1/2,-z'
'-x+1/2,y+1/2,-z'
'x+1/2,-y+1/2,z'
loop_
_atom_site_label
_atom_site_fract_x
_atom_site_fract_y
_atom_site_fract_z
Ac1 0.060 0.000 0.177
Si1 0.165 0.500 0.995
Br1 0.216 0.000 0.659
```

- Which value of DOS at the Fermi energy does entry 2 give?
  0.35 states/eV per atom